(1)
Computed, not measured: a geometry-optimized LaHoCu2 structure at the GGA-PBE level of DFT.

It has space group P4/mmm (No. 123), with a = 3.524 Å, b = 3.524 Å, c = 7.193 Å, α = 90.00°, β = 90.00° and γ = 90.00°. Symmetry generates all atoms from La at (0.000, 0.000, 0.000), Ho at (0.000, 0.000, 0.500) and Cu at (0.500, 0.500, 0.280).

The calculation puts the theoretical density at 8.01 g/cm3. The calculation puts the relative energy among the computed polymorphs at 0 meV/atom. The formation energy is -0.202 eV/atom. The value obtained for the total moment is 0.000 μB per formula unit. The total DFT energy (no corrections) is -4.626 eV/atom. For the density of states at the Fermi level, the calculation gives 2.49 states/eV/cell.

(2)
Computed, not measured: a geometry-optimized Pr3Nd2SmY6 structure at the GGA-PBE level of DFT.

It has space group C2/m (No. 12), with a = 6.305 Å, b = 10.920 Å, c = 11.910 Å, α = 90.00°, β = 100.13° and γ = 90.00°. Symmetry generates all atoms from Pr at (0.000, 0.000, 0.000), Pr at (0.000, 0.333, 0.000), Nd at (0.000, 0.167, 0.500), Sm at (0.000, 0.500, 0.500), Y at (0.249, 0.333, 0.749) and Y at (0.250, 0.000, 0.749).

The calculation puts the theoretical density at 5.74 g/cm3. The formation energy is 0.008 eV/atom. The value obtained for the total moment is 0.000 μB per formula unit. The total DFT energy (no corrections) is -5.607 eV/atom. For the density of states at the Fermi level, the calculation gives 28.10 states/eV/cell.

(3)
Computed, not measured: a geometry-optimized SnN2O2 structure at the GGA-PBE level of DFT.

It has space group C2/m (No. 12), with a = 5.636 Å, b = 3.254 Å, c = 9.643 Å, α = 90.00°, β = 101.49° and γ = 90.00°. Symmetry generates all atoms from Sn at (0.000, 0.000, 0.000), N at (0.020, 0.500, 0.559) and O at (0.203, 0.500, 0.106).

As for the formation energy from raw total energies: -0.87 eV/atom. The calculation puts the theoretical density at 3.43 g/cm3. The calculation puts the relative energy among the computed polymorphs at 0 meV/atom. The value obtained for the total moment is 0.001 μB per formula unit. The total DFT energy (no corrections) is -6.982 eV/atom. For the density of states at the Fermi level, the calculation gives 0.00 states/eV/cell.

(4)
Computed, not measured: a geometry-optimized ReTe3 structure at the GGA-PBE level of DFT.

It has space group Cmcm (No. 63), with a = 7.732 Å, b = 15.722 Å, c = 3.739 Å, α = 90.00°, β = 90.00° and γ = 90.00°. Symmetry generates all atoms from Re at (0.000, 0.052, 0.250), Te at (0.000, 0.261, 0.750) and Te at (0.246, 0.105, 0.750).

As for the formation energy from raw total energies: 0.40 eV/atom. The calculation puts the theoretical density at 8.31 g/cm3. The calculation puts the relative energy among the computed polymorphs at 188 meV/atom. The value obtained for the total moment is 0.000 μB per formula unit. The total DFT energy (no corrections) is -5.073 eV/atom. For the density of states at the Fermi level, the calculation gives 13.52 states/eV/cell.